No. 1
Here is a relaxed VGa3As crystal from the Alexandria database. Energies are from GGA-PBE.

Computed properties:
* energy above the lowest structure with this stoichiometry: 0.0000 eV per atom
* formation energy from the elements: 3.28 eV/f.u.
* total magnetization: 0.00 μB/atom
* space group: Pm-3m (221)
* DOS at the Fermi energy: 1.192 states/eV/atom
* E: -3.913 eV per atom
* calculated volume: 22.4 Å³ per atom

a = 4.817 Å, b = 4.817 Å, c = 4.817 Å
α = 90.00°, β = 90.00°, γ = 90.00°
Fractional positions:
As (0.500, 0.500, 0.500)
Ga (0.000, 0.500, 0.000)
Ga (0.000, 0.000, 0.500)
Ga (0.500, 0.000, 0.000)
V (0.000, 0.000, 0.000)


No. 2
Here is a relaxed VGaAs3 crystal from the Alexandria database. Energies are from GGA-PBE.

Computed properties:
* energy above the lowest structure with this stoichiometry: 0.7460 eV per atom
* formation energy from the elements: 4.64 eV/f.u.
* total magnetization: 0.62 μB/atom
* space group: Pm-3m (221)
* DOS at the Fermi energy: 1.633 states/eV/atom
* E: -4.291 eV per atom
* calculated volume: 22.9 Å³ per atom

a = 4.855 Å, b = 4.855 Å, c = 4.855 Å
α = 90.00°, β = 90.00°, γ = 90.00°
Last column: magnetic moment on the atom in μB.
Fractional positions:
As (0.000, 0.500, 0.000)  -0.06
As (0.000, 0.000, 0.500)  -0.06
As (0.500, 0.000, 0.000)  -0.06
Ga (0.000, 0.000, 0.000)  0.02
V (0.500, 0.500, 0.500)  2.84


No. 3
Here is a relaxed V2GaAsW crystal from the Alexandria database. Energies are from GGA-PBE.

Computed properties:
* formation energy from the elements: 5.94 eV/f.u.
* total magnetization: 0.00 μB/atom
* space group: P4/mmm (123)
* DOS at the Fermi energy: 1.584 states/eV/atom
* E: -6.584 eV per atom
* calculated volume: 21.2 Å³ per atom

a = 4.721 Å, b = 4.754 Å, c = 4.721 Å
α = 90.00°, β = 90.00°, γ = 90.00°
Fractional positions:
As (0.000, 0.500, 0.000)
Ga (0.500, 0.500, 0.500)
W (0.000, 0.000, 0.000)
V (0.000, 0.000, 0.500)
V (0.500, 0.000, 0.000)